(1)
# Ac3Nd5Y3 | the Alexandria database | PBE | relaxed
# Crystal system = hexagonal
# E_tot = -4.365 eV per atom
# Magnetic moment = 0.0 Bohr magnetons per cell
data_Ac3Nd5Y3
_chemical_formula_sum 'Ac3 Nd5 Y3'
_symmetry_space_group_name_H-M 'P -6 2 m'
_symmetry_Int_Tables_number 189
_symmetry_space_group_name_Hall 'P -6 -2'
_cell_length_a 9.7230
_cell_length_b 9.7230
_cell_length_c 6.1307
_cell_angle_alpha 90.00
_cell_angle_beta 90.00
_cell_angle_gamma 120.00
loop_
_atom_site_label
_atom_site_fract_x
_atom_site_fract_y
_atom_site_fract_z
Ac1 0.0000 0.4235 0.0000
Nd1 0.0000 0.6185 0.5000
Nd2 0.3333 0.6667 0.5000
Y1 0.0000 0.2493 0.5000

---

(2)
# Ac2NdY | the Alexandria database | PBE | relaxed
# Crystal system = orthorhombic
# E_tot = -4.831 eV per atom
# ΔE to the lowest computed polymorph = 0.1 meV per atom
# Magnetic moment = 0.0 Bohr magnetons per cell
data_Ac2NdY
_chemical_formula_sum 'Ac2 Nd1 Y1'
_symmetry_space_group_name_H-M 'P m m m'
_symmetry_Int_Tables_number 47
_symmetry_space_group_name_Hall '-P 2 2'
_cell_length_a 3.8685
_cell_length_b 5.2264
_cell_length_c 7.7056
_cell_angle_alpha 90.00
_cell_angle_beta 90.00
_cell_angle_gamma 90.00
loop_
_atom_site_label
_atom_site_fract_x
_atom_site_fract_y
_atom_site_fract_z
Ac1 0.0000 0.0000 0.2493
Nd1 0.5000 0.5000 0.5000
Y1 0.5000 0.5000 0.0000

---

(3)
# Ac8NdY5 | the Alexandria database | PBE | relaxed
# Crystal system = triclinic
# E_tot = -4.918 eV per atom
# Magnetic moment = 0.0 Bohr magnetons per cell
data_Ac8NdY5
_chemical_formula_sum 'Ac8 Nd1 Y5'
_symmetry_space_group_name_H-M 'P 1'
_symmetry_Int_Tables_number 1
_symmetry_space_group_name_Hall 'P 1'
_cell_length_a 7.5691
_cell_length_b 9.2098
_cell_length_c 9.4777
_cell_angle_alpha 114.16
_cell_angle_beta 101.49
_cell_angle_gamma 102.00
loop_
_atom_site_label
_atom_site_fract_x
_atom_site_fract_y
_atom_site_fract_z
Ac1 0.0000 0.0000 0.0000
Ac2 0.0428 0.8288 0.2901
Ac3 0.3128 0.6745 0.5665
Ac4 0.3831 0.4096 0.1495
Ac5 0.5031 0.0060 0.0169
Ac6 0.6090 0.5488 0.8768
Ac7 0.8120 0.6739 0.5552
Ac8 0.9219 0.2371 0.4320
Nd1 0.5345 0.8386 0.2986
Y1 0.1084 0.5496 0.8834
Y2 0.2153 0.1285 0.7177
Y3 0.4245 0.2337 0.4348
Y4 0.7130 0.1301 0.7182
Y5 0.8839 0.4002 0.1389

---

(4)
# AcNd3Y12 | the Alexandria database | PBE | relaxed
# Crystal system = tetragonal
# E_tot = -5.969 eV per atom
# Magnetic moment = 0.0 Bohr magnetons per cell
data_AcNd3Y12
_chemical_formula_sum 'Ac1 Nd3 Y12'
_symmetry_space_group_name_H-M 'P 4/m m m'
_symmetry_Int_Tables_number 123
_symmetry_space_group_name_Hall '-P 4 2'
_cell_length_a 5.1155
_cell_length_b 5.1155
_cell_length_c 20.4806
_cell_angle_alpha 90.00
_cell_angle_beta 90.00
_cell_angle_gamma 90.00
loop_
_atom_site_label
_atom_site_fract_x
_atom_site_fract_y
_atom_site_fract_z
Ac1 0.0000 0.0000 0.0000
Nd1 0.0000 0.0000 0.2519
Nd2 0.0000 0.0000 0.5000
Y1 0.0000 0.5000 0.1295
Y2 0.0000 0.5000 0.3763
Y3 0.5000 0.5000 0.0000
Y4 0.5000 0.5000 0.2529
Y5 0.5000 0.5000 0.5000

---

(5)
# AcNd3Y | the Alexandria database | PBE | relaxed
# Crystal system = monoclinic
# E_tot = -4.946 eV per atom
# ΔE to the lowest computed polymorph = 0.0 meV per atom
# Magnetic moment = 0.0 Bohr magnetons per cell
data_AcNd3Y
_chemical_formula_sum 'Ac4 Nd12 Y4'
_symmetry_space_group_name_H-M 'C 1 2/m 1'
_symmetry_Int_Tables_number 12
_symmetry_space_group_name_Hall '-C 2y'
_cell_length_a 18.9765
_cell_length_b 5.2725
_cell_length_c 7.4324
_cell_angle_alpha 90.00
_cell_angle_beta 101.17
_cell_angle_gamma 90.00
loop_
_atom_site_label
_atom_site_fract_x
_atom_site_fract_y
_atom_site_fract_z
Ac1 0.1976 0.0000 0.3445
Nd1 0.0022 0.0000 0.7543
Nd2 0.0969 0.5000 0.5500
Nd3 0.1977 0.0000 0.8501
Y1 0.0975 0.5000 0.0448

---

(6)
# AcNdY | the Alexandria database | PBE | relaxed
# Crystal system = trigonal
# E_tot = -5.069 eV per atom
# ΔE to the lowest computed polymorph = 3.7 meV per atom
# Magnetic moment = 0.0 Bohr magnetons per cell
data_AcNdY
_chemical_formula_sum 'Ac1 Nd1 Y1'
_symmetry_space_group_name_H-M 'P 3 m 1'
_symmetry_Int_Tables_number 156
_symmetry_space_group_name_Hall 'P 3 -2"'
_cell_length_a 3.7715
_cell_length_b 3.7715
_cell_length_c 9.1074
_cell_angle_alpha 90.00
_cell_angle_beta 90.00
_cell_angle_gamma 120.00
loop_
_atom_site_label
_atom_site_fract_x
_atom_site_fract_y
_atom_site_fract_z
Ac1 0.0000 0.0000 0.0000
Nd1 0.3333 0.6667 0.6532
Y1 0.6667 0.3333 0.3360